Entry 1:
Compound: Bi3AuCl
Source: the Alexandria database
Functional: PBE
Structure: relaxed

Summary:
**Formation energy without anion corrections**: -73 meV per atom
**Offset from the most stable computed form**: 0.000 eV per atom
**Theoretical density**: 8.75 Mg/m³
**Calculated total energy**: -3.4263 eV per atom

Lattice parameters (Å, degrees): 13.0757 7.1956 7.9434 90.00 119.19 90.00
With the nearest neighbours (Å) after each atom.
Space group C2/m (No. 12)
One atom of each set of equivalent atoms:
1 Bi 0.0432 0.0000 0.2324 [4 per cell]  2 Au 2.91-3.19, 2 Bi 3.24
2 Bi 0.1392 0.2319 0.6832 [8 per cell]  2 Au 2.89-3.01, 1 Cl 3.10
3 Au 0.2067 0.0000 0.0379 [4 per cell]  6 Bi 2.89-3.19
4 Cl 0.1575 0.5000 0.3929 [4 per cell]  4 Bi 3.10-3.43

=====

Entry 2:
Compound: Bi2AuCl2
Source: the Alexandria database
Functional: PBE
Structure: relaxed

Summary:
**Formation energy without anion corrections**: 4 meV per atom
**Offset from the most stable computed form**: 0.406 eV per atom
**Theoretical density**: 8.77 Mg/m³
**Calculated total energy**: -2.9428 eV per atom

Lattice parameters (Å, degrees): 9.0739 9.0739 3.1532 90.00 90.00 90.00
With the nearest neighbours (Å) after each atom.
Space group P4/mbm (No. 127)
One atom of each set of equivalent atoms:
1 Bi 0.2001 0.2999 0.0000 [4 per cell]  2 Cl 2.83, 2 Bi 3.15
2 Au 0.0000 0.0000 0.5000 [2 per cell]  2 Au 3.15
3 Cl 0.1170 0.6170 0.5000 [4 per cell]  2 Bi 2.83, 3 Cl 3.00-3.15

=====

Entry 3:
Compound: Bi2AuCl2
Source: the Alexandria database
Functional: PBE
Structure: relaxed

Summary:
**Formation energy without anion corrections**: 290 meV per atom
**Offset from the most stable computed form**: 0.692 eV per atom
**Theoretical density**: 7.52 Mg/m³
**Calculated total energy**: -2.6566 eV per atom

Lattice parameters (Å, degrees): 4.4343 4.4343 15.3972 90.00 90.00 90.00
With the nearest neighbours (Å) after each atom.
Space group I4/mmm (No. 139)
One atom of each set of equivalent atoms:
1 Bi 0.0000 0.5000 0.2500 [4 per cell]  4 Bi 3.14, 4 Cl 3.15
2 Au 0.0000 0.0000 0.0000 [2 per cell]  8 Cl 3.52
3 Cl 0.0000 0.0000 0.3958 [4 per cell]  4 Bi 3.15, 1 Cl 3.21, 4 Au 3.52

=====

Entry 4:
Compound: BiAuCl
Source: the Alexandria database
Functional: PBE
Structure: relaxed

Summary:
**Formation energy without anion corrections**: -277 meV per atom
**Offset from the most stable computed form**: 0.061 eV per atom
**Theoretical density**: 7.70 Mg/m³
**Calculated total energy**: -3.2788 eV per atom

Lattice parameters (Å, degrees): 8.2351 5.5296 8.8401 90.00 109.00 90.00
With the nearest neighbours (Å) after each atom.
Space group P2_1/c (No. 14)
One atom of each set of equivalent atoms:
1 Bi 0.1508 0.0763 0.2002 [4 per cell]  3 Au 2.71-2.94, 1 Cl 2.84
2 Au 0.1293 0.6811 0.9837 [4 per cell]  1 Cl 2.53, 1 Bi 2.71
3 Cl 0.3783 0.0873 0.6325 [4 per cell]  1 Au 2.53

=====

Copy entry 4 word for word.
Compound: BiAuCl
Source: the Alexandria database
Functional: PBE
Structure: relaxed

Summary:
**Formation energy without anion corrections**: -277 meV per atom
**Offset from the most stable computed form**: 0.061 eV per atom
**Theoretical density**: 7.70 Mg/m³
**Calculated total energy**: -3.2788 eV per atom

Lattice parameters (Å, degrees): 8.2351 5.5296 8.8401 90.00 109.00 90.00
With the nearest neighbours (Å) after each atom.
Space group P2_1/c (No. 14)
One atom of each set of equivalent atoms:
1 Bi 0.1508 0.0763 0.2002 [4 per cell]  3 Au 2.71-2.94, 1 Cl 2.84
2 Au 0.1293 0.6811 0.9837 [4 per cell]  1 Cl 2.53, 1 Bi 2.71
3 Cl 0.3783 0.0873 0.6325 [4 per cell]  1 Au 2.53